# 1
This record from Alexandria describes a geometry-optimized ErAlNi5 structure. The functional is PBE-GGA.

Summary:
Total magnetization in μB per cell: 0.000
Energy relative to the elements in eV/f.u.: -3.18
Calculated total energy in eV per atom: -5.770

Unit cell a=4.780 b=7.849 c=9.964 alpha=90.00 beta=90.00 gamma=90.00
Fractional coordinates of all 28 atoms:
Er 0.250 0.248 0.941
Er 0.750 0.252 0.441
Er 0.250 0.748 0.559
Er 0.750 0.752 0.059
Al 0.250 0.859 0.858
Al 0.750 0.641 0.358
Al 0.250 0.359 0.642
Al 0.750 0.141 0.142
Ni 0.250 0.597 0.017
Ni 0.750 0.903 0.517
Ni 0.250 0.097 0.483
Ni 0.750 0.403 0.983
Ni 0.750 0.313 0.750
Ni 0.250 0.187 0.250
Ni 0.750 0.813 0.750
Ni 0.250 0.687 0.250
Ni 0.250 0.950 0.092
Ni 0.750 0.550 0.592
Ni 0.250 0.450 0.408
Ni 0.750 0.050 0.908
Ni 0.994 0.434 0.194
Ni 0.006 0.066 0.694
Ni 0.506 0.934 0.306
Ni 0.494 0.566 0.806
Ni 0.006 0.566 0.806
Ni 0.994 0.934 0.306
Ni 0.494 0.066 0.694
Ni 0.506 0.434 0.194

***

# 2
This record from Alexandria describes a geometry-optimized Er3Al3Ni2 structure. The functional is PBE-GGA.

Summary:
Total magnetization in μB per cell: 0.000
Energy relative to the elements in eV/f.u.: -4.11
Calculated total energy in eV per atom: -5.073

Unit cell a=5.479 b=7.740 c=14.827 alpha=90.00 beta=90.00 gamma=90.00
Fractional coordinates of all 32 atoms:
Er 0.109 0.465 0.389
Er 0.609 0.035 0.611
Er 0.891 0.535 0.889
Er 0.391 0.965 0.111
Er 0.891 0.535 0.611
Er 0.391 0.965 0.389
Er 0.109 0.465 0.111
Er 0.609 0.035 0.889
Er 0.622 0.321 0.250
Er 0.122 0.179 0.750
Er 0.378 0.679 0.750
Er 0.878 0.821 0.250
Al 0.109 0.169 0.250
Al 0.609 0.331 0.750
Al 0.891 0.831 0.750
Al 0.391 0.669 0.250
Al 0.604 0.325 0.465
Al 0.104 0.175 0.535
Al 0.396 0.675 0.965
Al 0.896 0.825 0.035
Al 0.396 0.675 0.535
Al 0.896 0.825 0.465
Al 0.604 0.325 0.035
Al 0.104 0.175 0.965
Ni 0.874 0.112 0.392
Ni 0.374 0.388 0.608
Ni 0.126 0.888 0.892
Ni 0.626 0.612 0.108
Ni 0.126 0.888 0.608
Ni 0.626 0.612 0.392
Ni 0.874 0.112 0.108
Ni 0.374 0.388 0.892